[1]
DFT (GGA-PBE) results for a relaxed Nd3Sm7Er2 crystal.

Properties
The calculation puts the offset from the most stable computed form at 193.2 meV per atom. As for the volume: 35.6 Å³ per atom. The value obtained for the formation energy is 6.48 kcal/mol of atoms. The calculation puts the theoretical density at 7.07 g/cm³.

CIF file:
```
data_Nd3Sm7Er2
_symmetry_space_group_name_H-M 'R -3 m'
_symmetry_Int_Tables_number 166
_symmetry_space_group_name_Hall '-R 3 2"'
_cell_length_a 6.5920
_cell_length_b 6.5920
_cell_length_c 34.0877
_cell_angle_alpha 90.00
_cell_angle_beta 90.00
_cell_angle_gamma 120.00
loop_
_atom_site_label
_atom_site_fract_x
_atom_site_fract_y
_atom_site_fract_z
Nd1 0.0000 0.0000 0.0000
Nd2 0.0000 0.0000 0.1539
Sm1 0.0000 0.0000 0.5000
Sm2 0.0029 0.5015 0.9165
Er1 0.0000 0.0000 0.3337
```

***

[2]
DFT (GGA-PBE) results for a relaxed ScIrI2N crystal.

Properties
The calculation puts the offset from the most stable computed form at 0.0 meV per atom. As for the volume: 24.1 Å³ per atom. Its energy relative to the elements, uncorrected is 0.2154 eV per atom. The calculation puts the theoretical density at 6.95 g/cm³.

CIF file:
```
data_ScIrI2N
_symmetry_space_group_name_H-M 'P 4/m m m'
_symmetry_Int_Tables_number 123
_symmetry_space_group_name_Hall '-P 4 2'
_cell_length_a 5.703
_cell_length_b 5.703
_cell_length_c 3.710
_cell_angle_alpha 90.00
_cell_angle_beta 90.00
_cell_angle_gamma 90.00
loop_
_atom_site_label
_atom_site_fract_x
_atom_site_fract_y
_atom_site_fract_z
Sc1 0.000 0.000 0.000
Ir1 0.500 0.500 0.500
I1 0.000 0.500 0.500
N1 0.500 0.500 0.000
```

***

[3]
DFT (GGA-PBE) results for a relaxed CaEu3Ga crystal.

Properties
As for the volume: 42.8 Å³ per atom. The value obtained for the formation energy is -0.70 kcal/mol of atoms. The calculation puts the theoretical density at 4.39 g/cm³.

CIF file:
```
data_CaEu3Ga
_symmetry_space_group_name_H-M 'P m -3 m'
_symmetry_Int_Tables_number 221
_symmetry_space_group_name_Hall '-P 4 2 3'
_cell_length_a 5.983
_cell_length_b 5.983
_cell_length_c 5.983
_cell_angle_alpha 90.00
_cell_angle_beta 90.00
_cell_angle_gamma 90.00
loop_
_atom_site_label
_atom_site_fract_x
_atom_site_fract_y
_atom_site_fract_z
Ca1 0.000 0.000 0.000
Eu1 0.000 0.500 0.500
Ga1 0.500 0.500 0.500
```

***

[4]
DFT (GGA-PBE) results for a relaxed Cu2SiMo crystal.

Properties
As for the volume: 13.5 Å³ per atom. Its energy relative to the elements, uncorrected is 0.1847 eV per atom. The calculation puts the theoretical density at 7.73 g/cm³.

CIF file:
```
data_Cu2SiMo
_symmetry_space_group_name_H-M 'R -3 m'
_symmetry_Int_Tables_number 166
_symmetry_space_group_name_Hall '-R 3 2"'
_cell_length_a 2.7040
_cell_length_b 2.7040
_cell_length_c 25.5544
_cell_angle_alpha 90.00
_cell_angle_beta 90.00
_cell_angle_gamma 120.00
loop_
_atom_site_label
_atom_site_fract_x
_atom_site_fract_y
_atom_site_fract_z
Cu1 0.0000 0.0000 0.2445
Si1 0.0000 0.0000 0.5000
Mo1 0.0000 0.0000 0.0000
```

***

[5]
DFT (GGA-PBE) results for a relaxed TmSc3O crystal.

Properties
The calculation puts the offset from the most stable computed form at 98.9 meV per atom. As for the volume: 19.8 Å³ per atom. Its energy relative to the elements, uncorrected is -1.0392 eV per atom. The calculation puts the theoretical density at 5.37 g/cm³.

CIF file:
```
data_TmSc3O
_symmetry_space_group_name_H-M 'P m -3 m'
_symmetry_Int_Tables_number 221
_symmetry_space_group_name_Hall '-P 4 2 3'
_cell_length_a 4.624
_cell_length_b 4.624
_cell_length_c 4.624
_cell_angle_alpha 90.00
_cell_angle_beta 90.00
_cell_angle_gamma 90.00
loop_
_atom_site_label
_atom_site_fract_x
_atom_site_fract_y
_atom_site_fract_z
Tm1 0.000 0.000 0.000
Sc1 0.000 0.500 0.500
O1 0.500 0.500 0.500
```

***

[6]
DFT (GGA-PBE) results for a relaxed ZrBeCr2 crystal.

Properties
As for the volume: 13.7 Å³ per atom. The value obtained for the formation energy is 1.72 kcal/mol of atoms. The calculation puts the theoretical density at 6.18 g/cm³.

CIF file:
```
data_ZrBeCr2
_symmetry_space_group_name_H-M 'P 4 m m'
_symmetry_Int_Tables_number 99
_cell_length_a 2.966
_cell_length_b 2.966
_cell_length_c 6.238
_cell_angle_alpha 90.00
_cell_angle_beta 90.00
_cell_angle_gamma 90.00
loop_
_symmetry_equiv_pos_as_xyz
'x,y,z'
'-y,x,z'
'-x,-y,z'
'y,-x,z'
'-x,y,z'
'y,x,z'
'x,-y,z'
'-y,-x,z'
loop_
_atom_site_label
_atom_site_fract_x
_atom_site_fract_y
_atom_site_fract_z
Zr1 0.000 0.000 0.000
Be1 0.500 0.500 0.304
Cr1 0.000 0.000 0.496
Cr2 0.500 0.500 0.695
```

***

[7]
DFT (GGA-PBE) results for a relaxed Ac3La4MoN8 crystal.

Properties
As for the volume: 17.8 Å³ per atom. Its energy relative to the elements, uncorrected is -0.9640 eV per atom. The calculation puts the theoretical density at 8.44 g/cm³.

CIF file:
```
data_Ac3La4MoN8
_symmetry_space_group_name_H-M 'R -3 m'
_symmetry_Int_Tables_number 166
_symmetry_space_group_name_Hall '-R 3 2"'
_cell_length_a 7.4002
_cell_length_b 7.4002
_cell_length_c 17.9773
_cell_angle_alpha 90.00
_cell_angle_beta 90.00
_cell_angle_gamma 120.00
loop_
_atom_site_label
_atom_site_fract_x
_atom_site_fract_y
_atom_site_fract_z
Ac1 0.0000 0.5000 0.0000
La1 0.0000 0.0000 0.5000
La2 0.0000 0.5000 0.5000
Mo1 0.0000 0.0000 0.0000
N1 0.0000 0.0000 0.2448
N2 0.0484 0.5242 0.7403
```

***

[8]
DFT (GGA-PBE) results for a relaxed UTlTe2Br crystal.

Properties
As for the volume: 38.9 Å³ per atom. Its energy relative to the elements, uncorrected is -0.7239 eV per atom. The calculation puts the theoretical density at 6.63 g/cm³.

CIF file:
```
data_UTlTe2Br
_symmetry_space_group_name_H-M 'P 1 21/m 1'
_symmetry_Int_Tables_number 11
_cell_length_a 9.564
_cell_length_b 4.382
_cell_length_c 9.611
_cell_angle_alpha 90.00
_cell_angle_beta 104.90
_cell_angle_gamma 90.00
loop_
_symmetry_equiv_pos_as_xyz
'x,y,z'
'-x,-y,-z'
'-x,y+1/2,-z'
'x,-y+1/2,z'
loop_
_atom_site_label
_atom_site_fract_x
_atom_site_fract_y
_atom_site_fract_z
U1 0.170 0.250 0.173
Tl1 0.228 0.250 0.678
Te1 0.139 0.750 0.382
Te2 0.165 0.750 0.945
Br1 0.464 0.250 0.254
```